1.
# SCAN Li4CoP2O8, single point on PBEsol structure
# Energy relative to the elements, uncorrected in eV/atom: -2.396
# Polymorph energy (0 for the lowest one) in meV/atom: 52
# Total magnetic moment in μB/f.u.: 3.00
data_Li4CoP2O8
_symmetry_space_group_name_H-M 'P -1'
_symmetry_Int_Tables_number 2
_cell_length_a 4.7263
_cell_length_b 5.2079
_cell_length_c 6.1589
_cell_angle_alpha 96.65
_cell_angle_beta 94.16
_cell_angle_gamma 100.34
loop_
_symmetry_equiv_pos_as_xyz
'x,y,z'
'-x,-y,-z'
loop_
_atom_site_label
_atom_site_type_symbol
_atom_site_fract_x
_atom_site_fract_y
_atom_site_fract_z
Li1 Li 0.1759 0.2942 0.0316
Li2 Li 0.2480 0.5588 0.6808
Co1 Co 0.0000 0.0000 0.5000
P1 P 0.3577 0.8211 0.2269
O1 O 0.1924 0.6704 0.3988
O2 O 0.2443 0.6812 0.9950
O3 O 0.2892 0.1029 0.2623
O4 O 0.3138 0.1849 0.7402

=====

2.
# SCAN Li4CoP2O8, single point on PBEsol structure
# Energy relative to the elements, uncorrected in eV/atom: -2.448
# Polymorph energy (0 for the lowest one) in meV/atom: 0
# Total magnetic moment in μB/f.u.: 3.00
data_Li4CoP2O8
_symmetry_space_group_name_H-M 'P 1 21/c 1'
_symmetry_Int_Tables_number 14
_cell_length_a 8.0997
_cell_length_b 10.2588
_cell_length_c 8.0687
_cell_angle_alpha 90.00
_cell_angle_beta 105.04
_cell_angle_gamma 90.00
loop_
_symmetry_equiv_pos_as_xyz
'x,y,z'
'-x,-y,-z'
'-x,y+1/2,-z+1/2'
'x,-y+1/2,z+1/2'
loop_
_atom_site_label
_atom_site_type_symbol
_atom_site_fract_x
_atom_site_fract_y
_atom_site_fract_z
Li1 Li 0.0228 0.0751 0.2727
Li2 Li 0.1017 0.1631 0.6000
Li3 Li 0.1577 0.6636 0.6594
Li4 Li 0.3511 0.1529 0.3484
Co1 Co 0.4079 0.6550 0.4146
P1 P 0.2084 0.0917 0.9728
P2 P 0.2696 0.5929 0.0363
O1 O 0.0572 0.0995 0.8103
O2 O 0.1161 0.6551 0.0886
O3 O 0.1604 0.1521 0.1294
O4 O 0.2274 0.0490 0.4786
O5 O 0.2544 0.5546 0.5108
O6 O 0.3087 0.6708 0.8853
O7 O 0.3618 0.1670 0.9364
O8 O 0.4316 0.6037 0.1903

=====

3.
# SCAN LiCoP2O7, single point on PBEsol structure
# Energy relative to the elements, uncorrected in eV/atom: -2.241
# Polymorph energy (0 for the lowest one) in meV/atom: 6
# Total magnetic moment in μB/f.u.: 0.00
data_LiCoP2O7
_symmetry_space_group_name_H-M 'C 1 2 1'
_symmetry_Int_Tables_number 5
_cell_length_a 6.3332
_cell_length_b 7.8663
_cell_length_c 4.3616
_cell_angle_alpha 90.00
_cell_angle_beta 103.47
_cell_angle_gamma 90.00
loop_
_symmetry_equiv_pos_as_xyz
'x,y,z'
'-x,y,-z'
'x+1/2,y+1/2,z'
'-x+1/2,y+1/2,-z'
loop_
_atom_site_label
_atom_site_type_symbol
_atom_site_fract_x
_atom_site_fract_y
_atom_site_fract_z
Li1 Li 0.0000 0.0000 0.0000
Co1 Co 0.0000 0.3692 0.0000
P1 P 0.2103 0.7134 0.4083
O1 O 0.0000 0.7934 0.5000
O2 O 0.1213 0.1928 0.2744
O3 O 0.1658 0.5407 0.2592
O4 O 0.2428 0.3551 0.8106

=====

4.
# SCAN LiCo2P2O9, single point on PBEsol structure
# Energy relative to the elements, uncorrected in eV/atom: -1.985
# Total magnetic moment in μB/f.u.: 1.03
data_LiCo2P2O9
_symmetry_space_group_name_H-M 'P n m a'
_symmetry_Int_Tables_number 62
_cell_length_a 13.4698
_cell_length_b 5.9730
_cell_length_c 7.2190
_cell_angle_alpha 90.00
_cell_angle_beta 90.00
_cell_angle_gamma 90.00
loop_
_symmetry_equiv_pos_as_xyz
'x,y,z'
'-x,-y,-z'
'-x+1/2,-y,z+1/2'
'x+1/2,y,-z+1/2'
'x+1/2,-y+1/2,-z+1/2'
'-x+1/2,y+1/2,z+1/2'
'-x,y+1/2,-z'
'x,-y+1/2,z'
loop_
_atom_site_label
_atom_site_type_symbol
_atom_site_fract_x
_atom_site_fract_y
_atom_site_fract_z
Li1 Li 0.2221 0.2500 0.0627
Co1 Co 0.0000 0.0000 0.0000
Co2 Co 0.1220 0.2500 0.6557
P1 P 0.0633 0.7500 0.6441
P2 P 0.1951 0.7500 0.0955
O1 O 0.0042 0.7500 0.8339
O2 O 0.0066 0.2500 0.5169
O3 O 0.0414 0.2500 0.8607
O4 O 0.1329 0.5347 0.0774
O5 O 0.1367 0.5546 0.6481
O6 O 0.2158 0.2500 0.4582
O7 O 0.2454 0.2500 0.7824

=====

5.
# SCAN Li2CoP2O7, single point on PBEsol structure
# Energy relative to the elements, uncorrected in eV/atom: -2.320
# Polymorph energy (0 for the lowest one) in meV/atom: 27
# Total magnetic moment in μB/f.u.: 3.00
data_Li2CoP2O7
_symmetry_space_group_name_H-M 'P 1 21/c 1'
_symmetry_Int_Tables_number 14
_cell_length_a 7.9813
_cell_length_b 5.0350
_cell_length_c 14.2247
_cell_angle_alpha 90.00
_cell_angle_beta 113.83
_cell_angle_gamma 90.00
loop_
_symmetry_equiv_pos_as_xyz
'x,y,z'
'-x,-y,-z'
'-x,y+1/2,-z+1/2'
'x,-y+1/2,z+1/2'
loop_
_atom_site_label
_atom_site_type_symbol
_atom_site_fract_x
_atom_site_fract_y
_atom_site_fract_z
Li1 Li 0.0169 0.1824 0.1855
Li2 Li 0.4197 0.1722 0.1729
Co1 Co 0.2722 0.1884 0.8853
P1 P 0.1908 0.6948 0.1878
P2 P 0.3062 0.6819 0.0215
O1 O 0.0073 0.7109 0.6891
O2 O 0.1528 0.7288 0.0675
O3 O 0.2231 0.6910 0.4149
O4 O 0.2253 0.1001 0.7157
O5 O 0.3287 0.1193 0.5179
O6 O 0.3499 0.6283 0.7500
O7 O 0.4746 0.6667 0.5944

=====

6.
# SCAN LiCoP2O7, single point on PBEsol structure
# Energy relative to the elements, uncorrected in eV/atom: -2.230
# Polymorph energy (0 for the lowest one) in meV/atom: 16
# Total magnetic moment in μB/f.u.: 0.00
data_LiCoP2O7
_symmetry_space_group_name_H-M 'P -1'
_symmetry_Int_Tables_number 2
_cell_length_a 6.1053
_cell_length_b 6.1259
_cell_length_c 6.6373
_cell_angle_alpha 66.55
_cell_angle_beta 86.47
_cell_angle_gamma 82.52
loop_
_symmetry_equiv_pos_as_xyz
'x,y,z'
'-x,-y,-z'
loop_
_atom_site_label
_atom_site_type_symbol
_atom_site_fract_x
_atom_site_fract_y
_atom_site_fract_z
Li1 Li 0.0048 0.2142 0.3308
Co1 Co 0.3649 0.4138 0.7074
P1 P 0.1256 0.7181 0.2649
P2 P 0.4022 0.8468 0.8492
O1 O 0.0459 0.8986 0.3571
O2 O 0.0484 0.4396 0.7422
O3 O 0.2054 0.8507 0.0204
O4 O 0.3256 0.7248 0.7090
O5 O 0.3345 0.5409 0.3848
O6 O 0.3906 0.2865 0.0155
O7 O 0.4180 0.1069 0.6994

=====

7.
# SCAN LiCo3SbP6O24, single point on PBEsol structure
# Energy relative to the elements, uncorrected in eV/atom: -1.944
# Total magnetic moment in μB/f.u.: 3.04
data_LiCo3SbP6O24
_symmetry_space_group_name_H-M 'R 3'
_symmetry_Int_Tables_number 146
_symmetry_space_group_name_Hall 'R 3'
_cell_length_a 8.0222
_cell_length_b 8.0222
_cell_length_c 21.4377
_cell_angle_alpha 90.00
_cell_angle_beta 90.00
_cell_angle_gamma 120.00
loop_
_atom_site_label
_atom_site_type_symbol
_atom_site_fract_x
_atom_site_fract_y
_atom_site_fract_z
Li1 Li 0.0000 0.0000 0.0000
Co1 Co 0.0000 0.0000 0.1273
Co2 Co 0.0000 0.0000 0.3352
Co3 Co 0.0000 0.0000 0.6341
Sb1 Sb 0.0000 0.0000 0.8440
P1 P 0.0090 0.7266 0.2373
P2 P 0.0450 0.3775 0.3981
O1 O 0.0053 0.8068 0.1728
O2 O 0.0304 0.1907 0.0688
O3 O 0.0916 0.2183 0.3846
O4 O 0.0937 0.2167 0.6834
O5 O 0.1348 0.4511 0.4635
O6 O 0.1635 0.6993 0.5700
O7 O 0.2090 0.7573 0.9546
O8 O 0.2136 0.7703 0.2516

=====

8.
# SCAN Li2CoSn3P6O24, single point on PBEsol structure
# Energy relative to the elements, uncorrected in eV/atom: -2.186
# Total magnetic moment in μB/f.u.: 1.04
data_Li2CoSn3P6O24
_symmetry_space_group_name_H-M 'R 3'
_symmetry_Int_Tables_number 146
_symmetry_space_group_name_Hall 'R 3'
_cell_length_a 8.5479
_cell_length_b 8.5479
_cell_length_c 21.2417
_cell_angle_alpha 90.00
_cell_angle_beta 90.00
_cell_angle_gamma 120.00
loop_
_atom_site_label
_atom_site_type_symbol
_atom_site_fract_x
_atom_site_fract_y
_atom_site_fract_z
Li1 Li 0.0000 0.0000 0.0000
Li2 Li 0.0000 0.0000 0.4870
Co1 Co 0.0000 0.0000 0.1281
Sn1 Sn 0.0000 0.0000 0.3435
Sn2 Sn 0.0000 0.0000 0.6270
Sn3 Sn 0.0000 0.0000 0.8461
P1 P 0.0066 0.2884 0.2323
P2 P 0.0101 0.7068 0.7378
O1 O 0.0175 0.8074 0.6770
O2 O 0.0225 0.1973 0.1723
O3 O 0.0293 0.2103 0.2938
O4 O 0.0475 0.2057 0.9058
O5 O 0.1426 0.6841 0.4633
O6 O 0.1574 0.6774 0.0724
O7 O 0.1623 0.4869 0.2270
O8 O 0.1826 0.1407 0.0695

=====

9.
# SCAN Li2CoSnP2O8, single point on PBEsol structure
# Energy relative to the elements, uncorrected in eV/atom: -2.176
# Polymorph energy (0 for the lowest one) in meV/atom: 0
# Total magnetic moment in μB/f.u.: 3.00
data_Li2CoSnP2O8
_symmetry_space_group_name_H-M 'P 1 21/c 1'
_symmetry_Int_Tables_number 14
_cell_length_a 4.7503
_cell_length_b 6.0726
_cell_length_c 23.2937
_cell_angle_alpha 90.00
_cell_angle_beta 92.19
_cell_angle_gamma 90.00
loop_
_symmetry_equiv_pos_as_xyz
'x,y,z'
'-x,-y,-z'
'-x,y+1/2,-z+1/2'
'x,-y+1/2,z+1/2'
loop_
_atom_site_label
_atom_site_type_symbol
_atom_site_fract_x
_atom_site_fract_y
_atom_site_fract_z
Li1 Li 0.0000 0.0000 0.0000
Li2 Li 0.0000 0.0000 0.5000
Li3 Li 0.3814 0.0602 0.2772
Co1 Co 0.4129 0.2482 0.9021
Sn1 Sn 0.0347 0.2487 0.1352
P1 P 0.1841 0.7481 0.6781
P2 P 0.4139 0.7481 0.9615
O1 O 0.1376 0.2263 0.3286
O2 O 0.2620 0.5487 0.4315
O3 O 0.2644 0.5429 0.9324
O4 O 0.2648 0.2457 0.5459
O5 O 0.2881 0.5636 0.6366
O6 O 0.2932 0.7100 0.7398
O7 O 0.3207 0.7487 0.5240
O8 O 0.3415 0.5432 0.1545

=====

10.
# SCAN Li4CoSn3P4O16, single point on PBEsol structure
# Energy relative to the elements, uncorrected in eV/atom: -2.156
# Total magnetic moment in μB/f.u.: 2.92
data_Li4CoSn3P4O16
_symmetry_space_group_name_H-M 'P 1 m 1'
_symmetry_Int_Tables_number 6
_cell_length_a 4.7435
_cell_length_b 6.8278
_cell_length_c 10.6200
_cell_angle_alpha 90.00
_cell_angle_beta 91.42
_cell_angle_gamma 90.00
loop_
_symmetry_equiv_pos_as_xyz
'x,y,z'
'x,-y,z'
loop_
_atom_site_label
_atom_site_type_symbol
_atom_site_fract_x
_atom_site_fract_y
_atom_site_fract_z
Li1 Li 0.0000 0.2221 0.0000
Li2 Li 0.4380 0.2623 0.4814
Co1 Co 0.9088 0.5000 0.2658
Sn1 Sn 0.0229 0.0000 0.7013
Sn2 Sn 0.3955 0.0000 0.2132
Sn3 Sn 0.4916 0.5000 0.7752
P1 P 0.0201 0.5000 0.5546
P2 P 0.3291 0.5000 0.0993
P3 P 0.5836 0.0000 0.9223
P4 P 0.8374 0.0000 0.4156
O1 O 0.1457 0.5000 0.4198
O2 O 0.1511 0.3207 0.6268
O3 O 0.1601 0.0000 0.4290
O4 O 0.1835 0.3212 0.1619
O5 O 0.2316 0.5000 0.9576
O6 O 0.2649 0.0000 0.9426
O7 O 0.6510 0.5000 0.1162
O8 O 0.6909 0.1823 0.8481
O9 O 0.6976 0.5000 0.5505
O10 O 0.7013 0.0000 0.5496
O11 O 0.7153 0.1837 0.3449
O12 O 0.7426 0.0000 0.0527

=====

Which formula does entry 4 have?
LiCo2P2O9

=====

What is the formula in the fourth record?
LiCo2P2O9

=====

Please write out number 3 again, unchanged.
# SCAN LiCoP2O7, single point on PBEsol structure
# Energy relative to the elements, uncorrected in eV/atom: -2.241
# Polymorph energy (0 for the lowest one) in meV/atom: 6
# Total magnetic moment in μB/f.u.: 0.00
data_LiCoP2O7
_symmetry_space_group_name_H-M 'C 1 2 1'
_symmetry_Int_Tables_number 5
_cell_length_a 6.3332
_cell_length_b 7.8663
_cell_length_c 4.3616
_cell_angle_alpha 90.00
_cell_angle_beta 103.47
_cell_angle_gamma 90.00
loop_
_symmetry_equiv_pos_as_xyz
'x,y,z'
'-x,y,-z'
'x+1/2,y+1/2,z'
'-x+1/2,y+1/2,-z'
loop_
_atom_site_label
_atom_site_type_symbol
_atom_site_fract_x
_atom_site_fract_y
_atom_site_fract_z
Li1 Li 0.0000 0.0000 0.0000
Co1 Co 0.0000 0.3692 0.0000
P1 P 0.2103 0.7134 0.4083
O1 O 0.0000 0.7934 0.5000
O2 O 0.1213 0.1928 0.2744
O3 O 0.1658 0.5407 0.2592
O4 O 0.2428 0.3551 0.8106